# 1
Compound: SrPb2Au
Source: Alexandria
Functional: meta-GGA SCAN
Structure: single point on PBEsol structure

The structure belongs to space group Immm (No. 71); the cell edges are 3.807, 5.366 and 10.963 Å and the angles 90.00°, 90.00° and 90.00°. The distinct sites, in fractional coordinates, are Sr at (0.000, 0.000, 0.000), Pb at (0.000, 0.500, 0.210) and Au at (0.000, 0.000, 0.500).

The value obtained for the total energy is -489.60 eV for the cell shown.



# 2
Compound: Ti2Be2Re
Source: Alexandria
Functional: meta-GGA SCAN
Structure: single point on PBEsol structure

The structure belongs to space group P4/mbm (No. 127); the cell edges are 6.229, 6.229 and 3.205 Å and the angles 90.00°, 90.00° and 90.00°. The distinct sites, in fractional coordinates, are Ti at (0.183, 0.317, 0.000), Be at (0.117, 0.617, 0.500) and Re at (0.000, 0.000, 0.500).

The value obtained for the total energy is -226.53 eV for the cell shown.



# 3
Compound: Cs2NaMgZn
Source: Alexandria
Functional: meta-GGA SCAN
Structure: single point on PBEsol structure

The structure belongs to space group P4/mmm (No. 123); the cell edges are 6.976, 6.976 and 5.360 Å and the angles 90.00°, 90.00° and 90.00°. The distinct sites, in fractional coordinates, are Cs at (0.000, 0.500, 0.000), Na at (0.000, 0.000, 0.500), Mg at (0.500, 0.500, 0.500) and Zn at (0.500, 0.500, 0.000).

The value obtained for the total energy is -97.28 eV for the cell shown.



# 4
Compound: RbReRu3
Source: Alexandria
Functional: meta-GGA SCAN
Structure: single point on PBEsol structure

The structure belongs to space group Pm-3m (No. 221); the cell edges are 4.736, 4.736 and 4.736 Å and the angles 90.00°, 90.00° and 90.00°. The distinct sites, in fractional coordinates, are Rb at (0.000, 0.000, 0.000), Re at (0.500, 0.500, 0.500) and Ru at (0.000, 0.500, 0.500).

The value obtained for the total energy is -188.62 eV for the cell shown.



# 5
Compound: Re4TcTe
Source: Alexandria
Functional: meta-GGA SCAN
Structure: single point on PBEsol structure

The structure belongs to space group F-43m (No. 216); the cell edges are 7.343, 7.343 and 7.343 Å and the angles 90.00°, 90.00° and 90.00°. The distinct sites, in fractional coordinates, are Re at (0.125, 0.125, 0.125), Tc at (0.250, 0.250, 0.750) and Te at (0.000, 0.000, 0.500).

The value obtained for the raw formation energy is 836 meV/atom. The value obtained for the total energy is -1406.75 eV for the cell shown.



# 6
Compound: ZnFe3
Source: Alexandria
Functional: meta-GGA SCAN
Structure: single point on PBEsol structure

The structure belongs to space group P4/mmm (No. 123); the cell edges are 2.901, 2.901 and 5.483 Å and the angles 90.00°, 90.00° and 90.00°. The distinct sites, in fractional coordinates, are Zn at (0.000, 0.000, 0.000), Fe at (0.000, 0.000, 0.500) and Fe at (0.500, 0.500, 0.263).

The value obtained for the total energy is -67.95 eV for the cell shown.